[1]
SrIn3Pt3 | OQMD | PBE | optimized geometry; space group = No. 59; DFT total energy = -65.03 eV per cell; crystal system = orthorhombic
1.0
-1.385 -3.876 -1.690
4.597 1.061 -6.200
6.678 -4.229 4.228
In Pt Sr
6 6 2
Direct
0.500 0.302 0.118
0.500 0.698 0.118
0.000 0.500 0.368
0.500 0.000 0.632
0.000 0.198 0.882
0.000 0.802 0.882
0.000 0.500 0.039
0.500 0.284 0.417
0.500 0.716 0.417
0.000 0.216 0.583
0.000 0.784 0.583
0.500 0.000 0.961
0.000 0.000 0.281
0.500 0.500 0.719


[2]
TbIn2Pt2 | OQMD | PBE | optimized geometry; space group = No. 139; DFT total energy = -25.70 eV per cell; crystal system = tetragonal
1.0
-2.118 2.118 6.048
2.118 -2.118 6.048
2.118 2.118 -6.048
In Pt Tb
2 2 1
Direct
0.750 0.250 0.500
0.250 0.750 0.500
0.394 0.394 0.000
0.606 0.606 0.000
0.000 0.000 0.000


[3]
Tb2In16Pt7 | OQMD | PBE | optimized geometry; space group = No. 65; DFT total energy = -108.52 eV per cell; crystal system = orthorhombic
1.0
0.000 0.000 -4.440
6.133 -10.107 0.000
-6.133 -10.107 0.000
In Pt Tb
16 7 2
Direct
0.500 0.287 0.039
0.000 0.073 0.073
0.000 0.413 0.141
0.500 0.517 0.256
0.500 0.039 0.287
0.000 0.632 0.368
0.000 0.141 0.413
0.500 0.744 0.483
0.500 0.256 0.517
0.000 0.859 0.587
0.000 0.368 0.632
0.500 0.961 0.713
0.500 0.483 0.744
0.000 0.587 0.859
0.000 0.927 0.927
0.500 0.713 0.961
0.000 0.669 0.116
0.500 0.276 0.276
0.000 0.884 0.331
0.500 0.500 0.500
0.000 0.116 0.669
0.500 0.724 0.724
0.000 0.331 0.884
0.500 0.830 0.170
0.500 0.170 0.830


[4]
TbInPt2 | OQMD | PBE | optimized geometry; space group = No. 194; DFT total energy = -46.67 eV per cell; crystal system = hexagonal
1.0
-2.307 3.962 0.128
-2.012 -3.872 1.411
3.016 1.484 8.372
In Pt Tb
2 4 2
Direct
0.000 0.000 0.000
0.000 0.000 0.500
0.667 0.333 0.092
0.667 0.333 0.408
0.333 0.667 0.592
0.333 0.667 0.908
0.333 0.667 0.250
0.667 0.333 0.750


[5]
TbTm2In3Pt2 | OQMD | PBE | optimized geometry; space group = No. 38; DFT total energy = -41.00 eV per cell; crystal system = orthorhombic
1.0
-3.605 0.105 0.123
-0.170 -7.547 1.426
0.343 5.008 5.815
In Pt Tb Tm
3 2 1 2
Direct
0.500 0.769 0.002
0.500 0.230 0.230
0.500 0.002 0.769
0.500 0.668 0.330
0.500 0.330 0.668
0.000 0.580 0.580
0.000 0.422 0.000
0.000 0.000 0.422


[6]
InTe5Pt3 | OQMD | PBE | optimized geometry; space group = No. 191; DFT total energy = -37.07 eV per cell; crystal system = hexagonal
1.0
6.209 0.000 0.000
-3.104 5.377 0.000
0.000 0.000 7.515
In Pt Te
1 3 5
Direct
0.000 0.000 0.000
0.500 0.000 0.500
0.000 0.500 0.500
0.500 0.500 0.500
0.667 0.333 0.233
0.333 0.667 0.233
0.000 0.000 0.500
0.667 0.333 0.767
0.333 0.667 0.767


[7]
In10Te10Pt | OQMD | PBE | optimized geometry; space group = No. 55; DFT total energy = -141.02 eV per cell; crystal system = orthorhombic
1.0
8.108 0.000 0.000
0.000 12.740 0.000
0.000 0.000 13.242
In Pt Te
20 2 20
Direct
0.226 0.000 0.000
0.774 0.000 0.000
0.261 0.390 0.091
0.739 0.390 0.091
0.500 0.657 0.137
0.000 0.653 0.222
0.000 0.153 0.278
0.500 0.157 0.363
0.261 0.890 0.409
0.739 0.890 0.409
0.226 0.500 0.500
0.774 0.500 0.500
0.261 0.110 0.591
0.739 0.110 0.591
0.500 0.843 0.637
0.000 0.847 0.722
0.000 0.347 0.778
0.500 0.343 0.863
0.261 0.610 0.909
0.739 0.610 0.909
0.500 0.500 0.000
0.500 0.000 0.500
0.000 0.725 0.026
0.500 0.885 0.120
0.293 0.172 0.172
0.707 0.172 0.172
0.000 0.432 0.236
0.000 0.932 0.264
0.293 0.672 0.328
0.707 0.672 0.328
0.500 0.385 0.380
0.000 0.225 0.474
0.000 0.775 0.526
0.500 0.615 0.620
0.293 0.328 0.672
0.707 0.328 0.672
0.000 0.068 0.736
0.000 0.568 0.764
0.293 0.828 0.828
0.707 0.828 0.828
0.500 0.115 0.880
0.000 0.275 0.974


[8]
In2Te4Pt | OQMD | PBE | optimized geometry; space group = No. 82; DFT total energy = -25.46 eV per cell; crystal system = tetragonal
1.0
-3.056 3.056 6.311
3.056 -3.056 6.311
3.056 3.056 -6.311
In Pt Te
2 1 4
Direct
0.500 0.500 0.000
0.250 0.750 0.500
0.000 0.000 0.000
0.398 0.937 0.069
0.063 0.132 0.461
0.671 0.602 0.539
0.868 0.329 0.931


[9]
ThInPt | OQMD | PBE | optimized geometry; space group = No. 186; DFT total energy = -37.16 eV per cell; crystal system = hexagonal
1.0
-3.446 2.092 -2.599
-1.156 -2.635 3.837
0.426 5.853 4.147
In Pt Th
2 2 2
Direct
0.333 0.667 0.476
0.667 0.333 0.976
0.333 0.667 0.037
0.667 0.333 0.537
0.000 0.000 0.237
0.000 0.000 0.737


[10]
TmInPt | OQMD | PBE | optimized geometry; space group = No. 189; DFT total energy = -46.26 eV per cell; crystal system = hexagonal
1.0
-1.175 2.824 -6.526
-5.201 -3.749 3.294
-1.433 3.575 1.805
In Pt Tm
3 3 3
Direct
0.667 0.333 0.000
0.333 0.667 0.000
0.000 0.000 0.500
0.249 0.000 0.000
0.000 0.249 0.000
0.751 0.751 0.000
0.570 0.000 0.500
0.430 0.430 0.500
0.000 0.570 0.500


[11]
TmInPt | OQMD | PBE | optimized geometry; space group = No. 189; DFT total energy = -44.10 eV per cell; crystal system = hexagonal
1.0
-7.151 3.768 1.395
3.911 -3.777 6.140
1.590 2.763 0.687
In Pt Tm
3 3 3
Direct
0.667 0.333 0.000
0.333 0.667 0.000
0.000 0.000 0.500
0.637 0.000 0.500
0.363 0.363 0.500
0.000 0.637 0.500
0.300 0.000 0.000
0.000 0.300 0.000
0.700 0.700 0.000